Version P
# Na2TlGe (PBE, relaxed)
# mass density = 4.943 g/cm3
# total magnetic moment = 0.0 μB per formula unit
data_Na2TlGe
_chemical_formula_sum 'Na8 Tl4 Ge4'
_symmetry_space_group_name_H-M 'C 1 m 1'
_symmetry_Int_Tables_number 8
_cell_length_a 11.171
_cell_length_b 4.929
_cell_length_c 8.824
_cell_angle_alpha 90.00
_cell_angle_beta 116.70
_cell_angle_gamma 90.00
loop_
_symmetry_equiv_pos_as_xyz
'x,y,z'
'x,-y,z'
'x+1/2,y+1/2,z'
'x+1/2,-y+1/2,z'
loop_
_atom_site_label
_atom_site_type_symbol
_atom_site_fract_x
_atom_site_fract_y
_atom_site_fract_z
Na1 Na 0.000 0.000 0.000
Na2 Na 0.000 0.000 0.500
Na3 Na 0.091 0.500 0.290
Na4 Na 0.410 0.000 0.709
Tl1 Tl 0.202 0.500 0.696
Tl2 Tl 0.298 0.000 0.302
Ge1 Ge 0.210 0.500 0.038
Ge2 Ge 0.289 0.000 0.960

---

Version Q
# Na2TlGe (PBE, relaxed)
# mass density = 5.009 g/cm3
# total magnetic moment = 0.0 μB per formula unit
data_Na2TlGe
_chemical_formula_sum 'Na8 Tl4 Ge4'
_symmetry_space_group_name_H-M 'I -4 2 d'
_symmetry_Int_Tables_number 122
_symmetry_space_group_name_Hall 'I -4 2bw'
_cell_length_a 4.458
_cell_length_b 4.458
_cell_length_c 21.557
_cell_angle_alpha 90.00
_cell_angle_beta 90.00
_cell_angle_gamma 90.00
loop_
_atom_site_label
_atom_site_type_symbol
_atom_site_fract_x
_atom_site_fract_y
_atom_site_fract_z
Na1 Na 0.233 0.250 0.125
Tl1 Tl 0.000 0.000 0.500
Ge1 Ge 0.000 0.000 0.000

---

Version R
# Na2TlGe (PBE, relaxed)
# mass density = 5.190 g/cm3
# total magnetic moment = 0.0 μB per formula unit
data_Na2TlGe
_chemical_formula_sum 'Na6 Tl3 Ge3'
_symmetry_space_group_name_H-M 'R -3 m'
_symmetry_Int_Tables_number 166
_symmetry_space_group_name_Hall '-R 3 2"'
_cell_length_a 3.3840
_cell_length_b 3.3840
_cell_length_c 31.2646
_cell_angle_alpha 90.00
_cell_angle_beta 90.00
_cell_angle_gamma 120.00
loop_
_atom_site_label
_atom_site_type_symbol
_atom_site_fract_x
_atom_site_fract_y
_atom_site_fract_z
Na1 Na 0.0000 0.0000 0.2438
Tl1 Tl 0.0000 0.0000 0.0000
Ge1 Ge 0.0000 0.0000 0.5000

---

Version S
# Na2TlGe (PBE, relaxed)
# mass density = 5.465 g/cm3
# total magnetic moment = 0.0 μB per formula unit
data_Na2TlGe
_chemical_formula_sum 'Na2 Tl1 Ge1'
_symmetry_space_group_name_H-M 'P 4/m m m'
_symmetry_Int_Tables_number 123
_symmetry_space_group_name_Hall '-P 4 2'
_cell_length_a 4.517
_cell_length_b 4.517
_cell_length_c 4.810
_cell_angle_alpha 90.00
_cell_angle_beta 90.00
_cell_angle_gamma 90.00
loop_
_atom_site_label
_atom_site_type_symbol
_atom_site_fract_x
_atom_site_fract_y
_atom_site_fract_z
Na1 Na 0.000 0.500 0.000
Tl1 Tl 0.000 0.000 0.500
Ge1 Ge 0.500 0.500 0.500

---

version P (0.018 eV/atom below the next structure)

---

Version P
# NaTl2Ge2 (PBE, relaxed)
# mass density = 7.055 g/cm3
# total magnetic moment = 0.0 μB per formula unit
data_NaTl2Ge2
_chemical_formula_sum 'Na2 Tl4 Ge4'
_symmetry_space_group_name_H-M 'I 4/m m m'
_symmetry_Int_Tables_number 139
_symmetry_space_group_name_Hall '-I 4 2'
_cell_length_a 3.903
_cell_length_b 3.903
_cell_length_c 17.835
_cell_angle_alpha 90.00
_cell_angle_beta 90.00
_cell_angle_gamma 90.00
loop_
_atom_site_label
_atom_site_type_symbol
_atom_site_fract_x
_atom_site_fract_y
_atom_site_fract_z
Na1 Na 0.000 0.000 0.000
Tl1 Tl 0.000 0.000 0.385
Ge1 Ge 0.000 0.500 0.250

---

Version Q
# NaTl2Ge2 (PBE, relaxed)
# mass density = 7.287 g/cm3
# total magnetic moment = 0.0 μB per formula unit
data_NaTl2Ge2
_chemical_formula_sum 'Na2 Tl4 Ge4'
_symmetry_space_group_name_H-M 'P 4/m b m'
_symmetry_Int_Tables_number 127
_symmetry_space_group_name_Hall '-P 4 2ab'
_cell_length_a 7.788
_cell_length_b 7.788
_cell_length_c 4.336
_cell_angle_alpha 90.00
_cell_angle_beta 90.00
_cell_angle_gamma 90.00
loop_
_atom_site_label
_atom_site_type_symbol
_atom_site_fract_x
_atom_site_fract_y
_atom_site_fract_z
Na1 Na 0.000 0.000 0.000
Tl1 Tl 0.180 0.320 0.500
Ge1 Ge 0.115 0.615 0.000

---

Version R
# NaTl2Ge2 (PBE, relaxed)
# mass density = 7.341 g/cm3
# total magnetic moment = 0.0 μB per formula unit
data_NaTl2Ge2
_chemical_formula_sum 'Na2 Tl4 Ge4'
_symmetry_space_group_name_H-M 'P 4/m b m'
_symmetry_Int_Tables_number 127
_symmetry_space_group_name_Hall '-P 4 2ab'
_cell_length_a 8.590
_cell_length_b 8.590
_cell_length_c 3.538
_cell_angle_alpha 90.00
_cell_angle_beta 90.00
_cell_angle_gamma 90.00
loop_
_atom_site_label
_atom_site_type_symbol
_atom_site_fract_x
_atom_site_fract_y
_atom_site_fract_z
Na1 Na 0.000 0.000 0.000
Tl1 Tl 0.148 0.352 0.000
Ge1 Ge 0.147 0.647 0.500

---

version P (0.041 eV/atom below the next structure)

---

Version P
# Na2Tl2Ge (PBE, relaxed)
# mass density = 6.417 g/cm3
# total magnetic moment = 0.0 μB per formula unit
data_Na2Tl2Ge
_chemical_formula_sum 'Na4 Tl4 Ge2'
_symmetry_space_group_name_H-M 'P 4/m b m'
_symmetry_Int_Tables_number 127
_symmetry_space_group_name_Hall '-P 4 2ab'
_cell_length_a 7.531
_cell_length_b 7.531
_cell_length_c 4.812
_cell_angle_alpha 90.00
_cell_angle_beta 90.00
_cell_angle_gamma 90.00
loop_
_atom_site_label
_atom_site_type_symbol
_atom_site_fract_x
_atom_site_fract_y
_atom_site_fract_z
Na1 Na 0.141 0.359 0.000
Tl1 Tl 0.173 0.673 0.500
Ge1 Ge 0.000 0.000 0.000

---

Version Q
# Na2Tl2Ge (PBE, relaxed)
# mass density = 6.058 g/cm3
# total magnetic moment = 0.0 μB per formula unit
data_Na2Tl2Ge
_chemical_formula_sum 'Na4 Tl4 Ge2'
_symmetry_space_group_name_H-M 'P 4/m b m'
_symmetry_Int_Tables_number 127
_symmetry_space_group_name_Hall '-P 4 2ab'
_cell_length_a 7.614
_cell_length_b 7.614
_cell_length_c 4.988
_cell_angle_alpha 90.00
_cell_angle_beta 90.00
_cell_angle_gamma 90.00
loop_
_atom_site_label
_atom_site_type_symbol
_atom_site_fract_x
_atom_site_fract_y
_atom_site_fract_z
Na1 Na 0.170 0.330 0.000
Tl1 Tl 0.143 0.643 0.500
Ge1 Ge 0.000 0.000 0.500

---

version Q (0.108 eV/atom below the next structure)

---

Version P
# NaVGe2 (PBE, relaxed)
# mass density = 4.866 g/cm3
# total magnetic moment = 1.5 μB per formula unit
data_NaVGe2
_chemical_formula_sum 'Na1 V1 Ge2'
_symmetry_space_group_name_H-M 'P 4/m m m'
_symmetry_Int_Tables_number 123
_symmetry_space_group_name_Hall '-P 4 2'
_cell_length_a 3.279
_cell_length_b 3.279
_cell_length_c 6.957
_cell_angle_alpha 90.00
_cell_angle_beta 90.00
_cell_angle_gamma 90.00
loop_
_atom_site_label
_atom_site_type_symbol
_atom_site_fract_x
_atom_site_fract_y
_atom_site_fract_z
Na1 Na 0.000 0.000 0.000
V1 V 0.000 0.000 0.500
Ge1 Ge 0.500 0.500 0.311

---

Version Q
# NaVGe2 (PBE, relaxed)
# mass density = 4.911 g/cm3
# total magnetic moment = 0.0 μB per formula unit
data_NaVGe2
_chemical_formula_sum 'Na3 V3 Ge6'
_symmetry_space_group_name_H-M 'R -3 m'
_symmetry_Int_Tables_number 166
_symmetry_space_group_name_Hall '-R 3 2"'
_cell_length_a 2.9663
_cell_length_b 2.9663
_cell_length_c 29.1793
_cell_angle_alpha 90.00
_cell_angle_beta 90.00
_cell_angle_gamma 120.00
loop_
_atom_site_label
_atom_site_type_symbol
_atom_site_fract_x
_atom_site_fract_y
_atom_site_fract_z
Na1 Na 0.0000 0.0000 0.0000
V1 V 0.0000 0.0000 0.5000
Ge1 Ge 0.0000 0.0000 0.0970

---

Version R
# NaVGe2 (PBE, relaxed)
# mass density = 3.568 g/cm3
# total magnetic moment = 1.8 μB per formula unit
data_NaVGe2
_chemical_formula_sum 'Na4 V4 Ge8'
_symmetry_space_group_name_H-M 'I -4 2 d'
_symmetry_Int_Tables_number 122
_symmetry_space_group_name_Hall 'I -4 2bw'
_cell_length_a 4.961
_cell_length_b 4.961
_cell_length_c 16.582
_cell_angle_alpha 90.00
_cell_angle_beta 90.00
_cell_angle_gamma 90.00
loop_
_atom_site_label
_atom_site_type_symbol
_atom_site_fract_x
_atom_site_fract_y
_atom_site_fract_z
Na1 Na 0.000 0.000 0.000
V1 V 0.000 0.000 0.500
Ge1 Ge 0.101 0.250 0.625

---

version P (0.135 eV/atom below the next structure)

---

Version P
# NaGe2W (PBE, relaxed)
# mass density = 4.799 g/cm3
# total magnetic moment = 0.9 μB per formula unit
data_NaGe2W
_chemical_formula_sum 'Na4 Ge8 W4'
_symmetry_space_group_name_H-M 'I -4 2 d'
_symmetry_Int_Tables_number 122
_symmetry_space_group_name_Hall 'I -4 2bw'
_cell_length_a 5.564
_cell_length_b 5.564
_cell_length_c 15.742
_cell_angle_alpha 90.00
_cell_angle_beta 90.00
_cell_angle_gamma 90.00
loop_
_atom_site_label
_atom_site_type_symbol
_atom_site_fract_x
_atom_site_fract_y
_atom_site_fract_z
Na1 Na 0.000 0.000 0.000
Ge1 Ge 0.050 0.250 0.625
W1 W 0.000 0.000 0.500

---

Version Q
# NaGe2W (PBE, relaxed)
# mass density = 8.510 g/cm3
# total magnetic moment = 1.1 μB per formula unit
data_NaGe2W
_chemical_formula_sum 'Na4 Ge8 W4'
_symmetry_space_group_name_H-M 'F m -3 m'
_symmetry_Int_Tables_number 225
_symmetry_space_group_name_Hall '-F 4 2 3'
_cell_length_a 6.502
_cell_length_b 6.502
_cell_length_c 6.502
_cell_angle_alpha 90.00
_cell_angle_beta 90.00
_cell_angle_gamma 90.00
loop_
_atom_site_label
_atom_site_type_symbol
_atom_site_fract_x
_atom_site_fract_y
_atom_site_fract_z
Na1 Na 0.000 0.000 0.000
Ge1 Ge 0.250 0.250 0.250
W1 W 0.000 0.000 0.500

---

version Q (0.098 eV/atom below the next structure)

---

Version P
# Na3GeW (PBE, relaxed)
# mass density = 3.305 g/cm3
# total magnetic moment = 4.2 μB per formula unit
data_Na3GeW
_chemical_formula_sum 'Na3 Ge1 W1'
_symmetry_space_group_name_H-M 'P m -3 m'
_symmetry_Int_Tables_number 221
_symmetry_space_group_name_Hall '-P 4 2 3'
_cell_length_a 5.468
_cell_length_b 5.468
_cell_length_c 5.468
_cell_angle_alpha 90.00
_cell_angle_beta 90.00
_cell_angle_gamma 90.00
loop_
_atom_site_label
_atom_site_type_symbol
_atom_site_fract_x
_atom_site_fract_y
_atom_site_fract_z
Na1 Na 0.000 0.000 0.500
Ge1 Ge 0.000 0.000 0.000
W1 W 0.500 0.500 0.500

---

Version Q
# Na3GeW (PBE, relaxed)
# mass density = 2.835 g/cm3
# total magnetic moment = 3.9 μB per formula unit
data_Na3GeW
_chemical_formula_sum 'Na3 Ge1 W1'
_symmetry_space_group_name_H-M 'P m -3 m'
_symmetry_Int_Tables_number 221
_symmetry_space_group_name_Hall '-P 4 2 3'
_cell_length_a 5.755
_cell_length_b 5.755
_cell_length_c 5.755
_cell_angle_alpha 90.00
_cell_angle_beta 90.00
_cell_angle_gamma 90.00
loop_
_atom_site_label
_atom_site_type_symbol
_atom_site_fract_x
_atom_site_fract_y
_atom_site_fract_z
Na1 Na 0.000 0.000 0.500
Ge1 Ge 0.500 0.500 0.500
W1 W 0.000 0.000 0.000

---

version P (0.248 eV/atom below the next structure)